[1]
Here is a relaxed Ba8AgRh3 crystal from Alexandria. Energies are from PBE.

- magnetic moment (μB/cell) = 0.00
- E (hartree per atom) = -0.1298

a b c (Å): 9.294 9.286 9.025
angles (deg): 120.93 90.00 120.03
Element x y z (fractional)
Rh (0.000, 0.500, 0.000)
Rh (0.500, 0.000, 0.000)
Ba (0.746, 0.491, 0.770)
Ba (0.254, 0.509, 0.230)
Ba (0.722, 0.977, 0.230)
Ba (0.744, 0.488, 0.231)
Ba (0.254, 0.977, 0.230)
Ba (0.256, 0.512, 0.769)
Rh (0.500, 0.500, 0.000)
Ba (0.278, 0.023, 0.770)
Ba (0.746, 0.023, 0.770)
Ag (0.000, 0.000, 0.000)

***

[2]
Here is a relaxed Sm5Bi4Pd crystal from Alexandria. Energies are from PBE.

- magnetic moment (μB/cell) = 0.00
- E (hartree per atom) = -0.1917

a b c (Å): 6.392 7.786 7.786
angles (deg): 80.30 65.77 65.77
Element x y z (fractional)
Sm (0.558, 0.000, 0.000)
Bi (0.587, 0.604, 0.206)
Bi (0.397, 0.396, 0.794)
Bi (0.191, 0.206, 0.396)
Sm (0.284, 0.809, 0.608)
Sm (0.093, 0.608, 0.191)
Sm (0.892, 0.392, 0.809)
Sm (0.701, 0.191, 0.392)
Bi (0.793, 0.794, 0.604)
Pd (0.013, 0.000, 0.000)

***

[3]
Here is a relaxed AlZn2 crystal from Alexandria. Energies are from PBE.

- magnetic moment (μB/cell) = 0.00
- E (hartree per atom) = -0.0748

a b c (Å): 5.316 5.316 6.374
angles (deg): 72.64 72.64 34.23
Element x y z (fractional)
Zn (0.333, 0.333, 0.335)
Al (0.997, 0.997, 0.005)
Al (0.667, 0.667, 0.664)
Zn (0.722, 0.722, 0.054)
Zn (0.057, 0.057, 0.388)
Zn (0.390, 0.390, 0.720)

***

[4]
Here is a relaxed LaTi3Tl crystal from Alexandria. Energies are from PBE.

- magnetic moment (μB/cell) = 0.00
- energy above the most stable polymorph in this dataset (eV per atom) = 0.1930

a b c (Å): 4.813 4.813 4.813
angles (deg): 90.00 90.00 90.00
Element x y z (fractional)
Ti (0.000, 0.000, 0.500)
Tl (0.500, 0.500, 0.500)
Ti (0.500, 0.000, 0.000)
Ti (0.000, 0.500, 0.000)
La (0.000, 0.000, 0.000)

***

Q: Which value of magnetic moment does entry 1 give?
A: 0.00 μB/cell

***

What did the first record say?
Here is a relaxed Ba8AgRh3 crystal from Alexandria. Energies are from PBE.

- magnetic moment (μB/cell) = 0.00
- E (hartree per atom) = -0.1298

a b c (Å): 9.294 9.286 9.025
angles (deg): 120.93 90.00 120.03
Element x y z (fractional)
Rh (0.000, 0.500, 0.000)
Rh (0.500, 0.000, 0.000)
Ba (0.746, 0.491, 0.770)
Ba (0.254, 0.509, 0.230)
Ba (0.722, 0.977, 0.230)
Ba (0.744, 0.488, 0.231)
Ba (0.254, 0.977, 0.230)
Ba (0.256, 0.512, 0.769)
Rh (0.500, 0.500, 0.000)
Ba (0.278, 0.023, 0.770)
Ba (0.746, 0.023, 0.770)
Ag (0.000, 0.000, 0.000)